Below is crystalline Ba2ZrRh3O12 at its relaxed geometry, with properties calculated at the PBE-GGA level.

abc: 7.2333 7.2333 7.2333
angles: 59.51 59.51 59.51
Atoms (fractional coordinates):
Ba 0.1199 0.1199 0.1199
Ba 0.8801 0.8801 0.8801
Zr 0.5000 0.5000 0.5000
Rh 0.0000 0.5000 0.5000
Rh 0.5000 0.0000 0.5000
Rh 0.5000 0.5000 0.0000
O 0.1438 0.5939 0.5939
O 0.1827 0.1827 0.5982
O 0.1827 0.5982 0.1827
O 0.4018 0.8173 0.8173
O 0.4061 0.4061 0.8562
O 0.4061 0.8562 0.4061
O 0.5939 0.1438 0.5939
O 0.5939 0.5939 0.1438
O 0.5982 0.1827 0.1827
O 0.8173 0.4018 0.8173
O 0.8173 0.8173 0.4018
O 0.8562 0.4061 0.4061

formation energy from raw total energies: -25.73 eV/f.u.
total magnetic moment: 0.0 μB/cell
total energy: -6.65 eV/atom